Entry 1:
Material: Pr4Ho2Mn23
Method: DFT, PBE
State: relaxed

Unit cell a=8.7683 b=12.3342 c=8.7801 alpha=90.00 beta=90.00 gamma=90.00
Closest atoms and distances in Å follow each position.
Space group Imm2 (No. 44)
Asymmetric unit:
1 Pr 0.0000 0.1992 0.0000  12 Mn 3.06-3.19
2 Pr 0.2035 0.0000 0.2034  12 Mn 3.04-3.22
3 Ho 0.2081 0.0000 0.7911  12 Mn 2.97-3.13
4 Mn 0.0000 0.0000 0.5089  8 Mn 2.48-2.71
5 Mn 0.0000 0.1765 0.6453  9 Mn 2.48-2.68
6 Mn 0.0000 0.1776 0.3572  9 Mn 2.53-2.69
7 Mn 0.0000 0.3784 0.7591  7 Mn 2.63-2.76
8 Mn 0.0000 0.3795 0.2436  7 Mn 2.57-2.69
9 Mn 0.0000 0.5000 0.0050  8 Mn 2.57-2.63
10 Mn 0.0000 0.5000 0.4947  8 Mn 2.52-2.76
11 Mn 0.1442 0.3232 0.4998  9 Mn 2.52-2.69
12 Mn 0.2420 0.3789 0.0024  7 Mn 2.60-2.74
13 Mn 0.2493 0.2466 0.7515  8 Mn 2.52-2.74

magnetization	0.84	μB per atom

---

Entry 2:
Material: BeIN2
Method: DFT, PBE
State: relaxed

Unit cell a=3.0633 b=4.0695 c=5.5631 alpha=86.57 beta=74.05 gamma=68.02
Closest atoms and distances in Å follow each position.
Space group P1 (No. 1)
Asymmetric unit:
1 Be 0.0000 0.0000 0.0000  3 N 1.65-1.69
2 I 0.4066 0.7307 0.4547  2 N 1.89-1.98
3 N 0.0961 0.1036 0.7046  1 Be 1.65
4 N 0.4518 0.9658 0.1307  2 Be 1.69

magnetization	0.00	μB per atom

---

| no. | uncorrected energy (eV/atom) |
| --- | --- |
| 1 | -8.130 |
| 2 | -4.780 |